# Rb2NaFe PBE-GGA relaxed
# **DOS at the Fermi energy**: 2.50 states/eV/f.u.
# **Electronic total energy**: -0.1557 Ry/atom
# **Offset from the most stable computed form**: 0 meV per atom
# **Formation energy from the elements**: 3.24 eV per formula unit
data_Rb2NaFe
_chemical_formula_sum 'Rb8 Na4 Fe4'
_symmetry_space_group_name_H-M 'F m -3 m'
_symmetry_Int_Tables_number 225
_symmetry_space_group_name_Hall '-F 4 2 3'
_cell_length_a 9.039
_cell_length_b 9.039
_cell_length_c 9.039
_cell_angle_alpha 90.00
_cell_angle_beta 90.00
_cell_angle_gamma 90.00
loop_
_atom_site_label
_atom_site_type_symbol
_atom_site_fract_x
_atom_site_fract_y
_atom_site_fract_z
Rb1 Rb 0.250 0.250 0.250
Na1 Na 0.000 0.000 0.000
Fe1 Fe 0.000 0.000 0.500